Entry from Alexandria via LeMat-Bulk: PaMnCd2O8 after structural relaxation (GGA+U).

## Properties
- E (eV for the cell shown) = -73.7
- mass density (g/cm³) = 6.3
- total magnetic moment (μB/cell) = 1.50
- V (Å³ per cell) = 169.6

Cell: 6.1013 6.1013 6.1013 Å, 115.59 115.59 97.83°
Last column: nearest neighbours and their distance in Å.
Atoms (fractional coordinates):
Pa1 0.0000 0.0000 0.0000  4 O 2.03
Mn1 0.2500 0.7500 0.5000  4 O 1.95
Cd1 0.7500 0.2500 0.5000  4 O 2.13
Cd2 0.5000 0.5000 0.0000  4 O 2.23
O1 0.3440 0.0349 0.3091  1 Pa 2.03, 1 Cd 2.13
O2 0.2752 0.4766 0.2015  1 Mn 1.95
O3 0.2752 0.0737 0.7985  1 Mn 1.95
O4 0.7258 0.0349 0.6909  1 Pa 2.03, 1 Cd 2.13
O5 0.9263 0.7248 0.2015  1 Mn 1.95
O6 0.9651 0.2742 0.3091  1 Pa 2.03, 1 Cd 2.13
O7 0.9651 0.6560 0.6909  1 Pa 2.03, 1 Cd 2.13
O8 0.5234 0.7248 0.7985  1 Mn 1.95